(1)
A plane-wave DFT calculation with SCAN was carried out for a crystal of Ta2MoPb relaxed with PBEsol.

```
data_Ta2MoPb
_cell_length_a 5.7001
_cell_length_b 9.0596
_cell_length_c 2.9257
_cell_angle_alpha 90.00
_cell_angle_beta 105.29
_cell_angle_gamma 90.00
_space_group_name_H-M_alt 'C 1 2/m 1'
_space_group_IT_number 12
_space_group_name_Hall '-C 2y'
loop_
_atom_site_label
_atom_site_fract_x
_atom_site_fract_y
_atom_site_fract_z
Ta1 0.2500 0.2500 0.0000
Mo1 0.0000 0.0000 0.5000
Pb1 0.0000 0.5000 0.5000
```

* spin magnetization: 0.000 μB per formula unit
* uncorrected energy: -60.585 eV per atom
* formation energy from the elements: 0.3735 eV per atom
* ρ: 15.2 Mg/m³

---

(2)
A plane-wave DFT calculation with SCAN was carried out for a crystal of ZnCd2Ag relaxed with PBEsol.

```
data_ZnCd2Ag
_cell_length_a 6.5609
_cell_length_b 6.5609
_cell_length_c 6.5609
_cell_angle_alpha 90.00
_cell_angle_beta 90.00
_cell_angle_gamma 90.00
_space_group_name_H-M_alt 'F -4 3 m'
_space_group_IT_number 216
_space_group_name_Hall 'F -4 2 3'
loop_
_atom_site_label
_atom_site_fract_x
_atom_site_fract_y
_atom_site_fract_z
Zn1 0.0000 0.0000 0.0000
Cd1 0.0000 0.0000 0.5000
Cd2 0.2500 0.2500 0.2500
Ag1 0.2500 0.2500 0.7500
```

* spin magnetization: 0.000 μB per formula unit
* uncorrected energy: -26.360 eV per atom
* formation energy from the elements: 0.0674 eV per atom
* ρ: 9.4 Mg/m³

---

(3)
A plane-wave DFT calculation with SCAN was carried out for a crystal of RbBaAs relaxed with PBEsol.

```
data_RbBaAs
_cell_length_a 8.8271
_cell_length_b 5.4466
_cell_length_c 9.4944
_cell_angle_alpha 90.00
_cell_angle_beta 90.00
_cell_angle_gamma 90.00
_space_group_name_H-M_alt 'P n m a'
_space_group_IT_number 62
_space_group_name_Hall '-P 2ac 2n'
loop_
_atom_site_label
_atom_site_fract_x
_atom_site_fract_y
_atom_site_fract_z
Rb1 0.0144 0.2500 0.1763
Ba1 0.1575 0.2500 0.5873
As1 0.2115 0.7500 0.4049
```

* spin magnetization: 0.000 μB per formula unit
* uncorrected energy: -27.753 eV per atom
* formation energy from the elements: -0.9259 eV per atom
* ρ: 4.3 Mg/m³

---

(4)
A plane-wave DFT calculation with SCAN was carried out for a crystal of CdTcPb2 relaxed with PBEsol.

```
data_CdTcPb2
_cell_length_a 3.2562
_cell_length_b 3.2562
_cell_length_c 8.5716
_cell_angle_alpha 90.00
_cell_angle_beta 90.00
_cell_angle_gamma 90.00
_space_group_name_H-M_alt 'P 4/m m m'
_space_group_IT_number 123
_space_group_name_Hall '-P 4 2'
loop_
_atom_site_label
_atom_site_fract_x
_atom_site_fract_y
_atom_site_fract_z
Cd1 0.0000 0.0000 0.0000
Tc1 0.0000 0.0000 0.5000
Pb1 0.5000 0.5000 0.2974
```

* spin magnetization: 0.001 μB per formula unit
* uncorrected energy: -53.749 eV per atom
* formation energy from the elements: 0.5097 eV per atom
* ρ: 11.4 Mg/m³